(1)
First-principles (PBE) data for crystalline InAg2Au at its relaxed geometry, as listed in Alexandria via LeMat-Bulk.

Output
- Crystal system: tetragonal
- Space group: No. 122
- Formation energy: 0.098 eV/atom

Lattice parameters (Å, degrees): 7.7794 7.7794 5.5722 90.00 90.00 90.00
Closest atoms and distances in Å follow each position.
Element x y z (fractional)
In  0.0000  0.0000  0.0000  2 Au 2.79, 4 Ag 2.88
In  0.0000  0.5000  0.2500  2 Au 2.79, 4 Ag 2.88
In  0.5000  0.0000  0.7500  2 Au 2.79, 4 Ag 2.88
In  0.5000  0.5000  0.5000  2 Au 2.79, 4 Ag 2.88
Ag  0.2424  0.2500  0.6250  2 Ag 2.79, 2 Au 2.80, 2 In 2.88
Ag  0.2500  0.7424  0.8750  2 Ag 2.79, 2 Au 2.80, 2 In 2.88
Ag  0.2500  0.7576  0.3750  2 Ag 2.79, 2 Au 2.80, 2 In 2.88
Ag  0.2576  0.2500  0.1250  2 Ag 2.79, 2 Au 2.80, 2 In 2.88
Ag  0.7424  0.7500  0.1250  2 Ag 2.79, 2 Au 2.80, 2 In 2.88
Ag  0.7500  0.2424  0.3750  2 Ag 2.79, 2 Au 2.80, 2 In 2.88
Ag  0.7500  0.2576  0.8750  2 Ag 2.79, 2 Au 2.80, 2 In 2.88
Ag  0.7576  0.7500  0.6250  2 Ag 2.79, 2 Au 2.80, 2 In 2.88
Au  0.0000  0.0000  0.5000  2 In 2.79, 4 Ag 2.80
Au  0.0000  0.5000  0.7500  2 In 2.79, 4 Ag 2.80
Au  0.5000  0.0000  0.2500  2 In 2.79, 4 Ag 2.80
Au  0.5000  0.5000  0.0000  2 In 2.79, 4 Ag 2.80


(2)
First-principles (PBE) data for crystalline InAgAu2 at its relaxed geometry, as listed in Alexandria via LeMat-Bulk.

Output
- Crystal system: trigonal
- Space group: No. 160
- Formation energy: -0.003 eV/atom

Lattice parameters (Å, degrees): 4.6441 4.6441 13.7042 90.00 90.00 120.00
Closest atoms and distances in Å follow each position.
Element x y z (fractional)
In  0.0000  0.0000  0.0000  6 Au 2.76-2.91, 1 Ag 2.80
In  0.3333  0.6667  0.6667  6 Au 2.76-2.91, 1 Ag 2.80
In  0.6667  0.3333  0.3333  6 Au 2.76-2.91, 1 Ag 2.80
Ag  0.0000  0.0000  0.2040  1 In 2.80, 4 Au 2.91
Ag  0.3333  0.6667  0.8707  1 In 2.80, 4 Au 2.91
Ag  0.6667  0.3333  0.5374  1 In 2.80, 4 Au 2.91
Au  0.0000  0.0000  0.4161  1 Au 2.79, 1 Ag 2.91, 3 In 2.91
Au  0.0000  0.0000  0.6197  3 In 2.76, 1 Au 2.79, 3 Ag 2.91
Au  0.3333  0.6667  0.0828  1 Au 2.79, 1 Ag 2.91, 3 In 2.91
Au  0.3333  0.6667  0.2864  3 In 2.76, 1 Au 2.79, 3 Ag 2.91
Au  0.6667  0.3333  0.7495  1 Au 2.79, 1 Ag 2.91, 3 In 2.91
Au  0.6667  0.3333  0.9531  3 In 2.76, 1 Au 2.79, 3 Ag 2.91


(3)
First-principles (PBE) data for crystalline InAgAu2 at its relaxed geometry, as listed in Alexandria via LeMat-Bulk.

Output
- Crystal system: trigonal
- Space group: No. 166
- Formation energy: 0.000 eV/atom

Lattice parameters (Å, degrees): 3.4172 3.4172 24.4202 90.00 90.00 120.00
Closest atoms and distances in Å follow each position.
Element x y z (fractional)
In  0.0000  0.0000  0.0000  6 Au 2.84
In  0.3333  0.6667  0.6667  6 Au 2.84
In  0.6667  0.3333  0.3333  6 Au 2.84
Ag  0.0000  0.0000  0.5000  6 Au 2.83
Ag  0.3333  0.6667  0.1667  6 Au 2.83
Ag  0.6667  0.3333  0.8333  6 Au 2.83
Au  0.0000  0.0000  0.2500  3 Ag 2.83, 3 In 2.84
Au  0.0000  0.0000  0.7500  3 Ag 2.83, 3 In 2.84
Au  0.3333  0.6667  0.4167  3 Ag 2.83, 3 In 2.84
Au  0.3333  0.6667  0.9166  3 Ag 2.83, 3 In 2.84
Au  0.6667  0.3333  0.0834  3 Ag 2.83, 3 In 2.84
Au  0.6667  0.3333  0.5833  3 Ag 2.83, 3 In 2.84


(4)
First-principles (PBE) data for crystalline InAg23Au6 at its relaxed geometry, as listed in Alexandria via LeMat-Bulk.

Output
- Crystal system: tetragonal
- Space group: No. 139
- Formation energy: 0.019 eV/atom

Lattice parameters (Å, degrees): 10.1667 10.1667 10.1667 132.08 132.08 70.10
Closest atoms and distances in Å follow each position.
Element x y z (fractional)
In  0.0000  0.0000  0.0000  4 Au 2.92, 8 Ag 3.00
Ag  0.0000  0.0000  0.5000  8 Ag 2.89-2.92, 2 Au 2.92
Ag  0.0000  0.5000  0.0000  8 Ag 2.89-2.92, 2 Au 2.92
Ag  0.0000  0.5000  0.5000  4 Au 2.92, 8 Ag 2.94
Ag  0.1230  0.3738  0.7493  8 Ag 2.88-2.95, 3 Au 2.92-2.94
Ag  0.1269  0.8716  0.2552  7 Ag 2.88-2.98, 3 Au 2.92-2.97, 1 In 3.00
Ag  0.1284  0.3836  0.2552  7 Ag 2.88-2.98, 3 Au 2.92-2.97, 1 In 3.00
Ag  0.1284  0.8731  0.7448  7 Ag 2.88-2.98, 3 Au 2.92-2.97, 1 In 3.00
Ag  0.3738  0.1230  0.7493  8 Ag 2.88-2.95, 3 Au 2.92-2.94
Ag  0.3738  0.6245  0.2507  8 Ag 2.88-2.95, 3 Au 2.92-2.94
Ag  0.3755  0.6262  0.7493  8 Ag 2.88-2.95, 3 Au 2.92-2.94
Ag  0.3836  0.1284  0.2552  7 Ag 2.88-2.98, 3 Au 2.92-2.97, 1 In 3.00
Ag  0.5000  0.0000  0.0000  8 Ag 2.89-2.92, 2 Au 2.92
Ag  0.5000  0.0000  0.5000  4 Au 2.92, 8 Ag 2.94
Ag  0.5000  0.5000  0.0000  4 Au 2.91, 8 Ag 2.95
Ag  0.5000  0.5000  0.5000  8 Ag 2.89-2.92, 2 Au 2.92
Ag  0.6164  0.8716  0.7448  7 Ag 2.88-2.98, 3 Au 2.92-2.97, 1 In 3.00
Ag  0.6245  0.3738  0.2507  8 Ag 2.88-2.95, 3 Au 2.92-2.94
Ag  0.6262  0.3755  0.7493  8 Ag 2.88-2.95, 3 Au 2.92-2.94
Ag  0.6262  0.8770  0.2507  8 Ag 2.88-2.95, 3 Au 2.92-2.94
Ag  0.8716  0.1269  0.2552  7 Ag 2.88-2.98, 3 Au 2.92-2.97, 1 In 3.00
Ag  0.8716  0.6164  0.7448  7 Ag 2.88-2.98, 3 Au 2.92-2.97, 1 In 3.00
Ag  0.8731  0.1284  0.7448  7 Ag 2.88-2.98, 3 Au 2.92-2.97, 1 In 3.00
Ag  0.8770  0.6262  0.2507  8 Ag 2.88-2.95, 3 Au 2.92-2.94
Au  0.2502  0.2502  0.0000  12 Ag 2.92
Au  0.2504  0.2504  0.5008  11 Ag 2.91-2.97, 1 In 2.92
Au  0.2504  0.7496  0.0000  11 Ag 2.91-2.97, 1 In 2.92
Au  0.7496  0.2504  0.0000  11 Ag 2.91-2.97, 1 In 2.92
Au  0.7498  0.7498  0.0000  12 Ag 2.92
Au  0.7496  0.7496  0.4992  11 Ag 2.91-2.97, 1 In 2.92


(5)
First-principles (PBE) data for crystalline In2AgAu at its relaxed geometry, as listed in Alexandria via LeMat-Bulk.

Output
- Crystal system: tetragonal
- Space group: No. 123
- Formation energy: -0.026 eV/atom

Lattice parameters (Å, degrees): 3.2293 3.2293 8.1543 90.00 90.00 90.00
Closest atoms and distances in Å follow each position.
Element x y z (fractional)
In  0.0000  0.0000  0.2437  4 Au 3.03, 4 Ag 3.10, 4 In 3.23
In  0.0000  0.0000  0.7563  4 Au 3.03, 4 Ag 3.10, 4 In 3.23
Ag  0.5000  0.5000  0.5000  8 In 3.10, 4 Ag 3.23
Au  0.5000  0.5000  0.0000  8 In 3.03, 4 Au 3.23


(6)
First-principles (PBE) data for crystalline In2AgAu at its relaxed geometry, as listed in Alexandria via LeMat-Bulk.

Output
- Crystal system: tetragonal
- Space group: No. 139
- Formation energy: -0.042 eV/atom

Lattice parameters (Å, degrees): 4.5920 4.5920 8.0293 90.00 90.00 90.00
Closest atoms and distances in Å follow each position.
Element x y z (fractional)
In  0.0000  0.5000  0.2500  4 Ag 3.05, 4 Au 3.05, 4 In 3.25
In  0.0000  0.5000  0.7500  4 Au 3.05, 4 Ag 3.05, 4 In 3.25
In  0.5000  0.0000  0.2500  4 Ag 3.05, 4 Au 3.05, 4 In 3.25
In  0.5000  0.0000  0.7500  4 Au 3.05, 4 Ag 3.05, 4 In 3.25
Ag  0.0000  0.0000  0.0000  8 In 3.05, 4 Au 3.25
Ag  0.5000  0.5000  0.5000  8 In 3.05, 4 Au 3.25
Au  0.0000  0.0000  0.5000  8 In 3.05, 4 Ag 3.25
Au  0.5000  0.5000  0.0000  8 In 3.05, 4 Ag 3.25


(7)
First-principles (PBE) data for crystalline In8Ag3Au at its relaxed geometry, as listed in Alexandria via LeMat-Bulk.

Output
- Crystal system: cubic
- Space group: No. 221
- Formation energy: -0.073 eV/atom

Lattice parameters (Å, degrees): 6.7107 6.7107 6.7107 90.00 90.00 90.00
Closest atoms and distances in Å follow each position.
Element x y z (fractional)
In  0.2504  0.2504  0.2504  1 Au 2.90, 3 Ag 2.91
In  0.2504  0.2504  0.7496  1 Au 2.90, 3 Ag 2.91
In  0.2504  0.7496  0.2504  1 Au 2.90, 3 Ag 2.91
In  0.2504  0.7496  0.7496  1 Au 2.90, 3 Ag 2.91
In  0.7496  0.2504  0.2504  1 Au 2.90, 3 Ag 2.91
In  0.7496  0.2504  0.7496  1 Au 2.90, 3 Ag 2.91
In  0.7496  0.7496  0.2504  1 Au 2.90, 3 Ag 2.91
In  0.7496  0.7496  0.7496  1 Au 2.90, 3 Ag 2.91
Ag  0.0000  0.0000  0.5000  8 In 2.91
Ag  0.0000  0.5000  0.0000  8 In 2.91
Ag  0.5000  0.0000  0.0000  8 In 2.91
Au  0.5000  0.5000  0.5000  8 In 2.90


(8)
First-principles (PBE) data for crystalline In2AgAu3 at its relaxed geometry, as listed in Alexandria via LeMat-Bulk.

Output
- Crystal system: orthorhombic
- Space group: No. 63
- Formation energy: -0.038 eV/atom

Lattice parameters (Å, degrees): 6.2557 6.2557 6.5927 90.00 90.00 97.27
Closest atoms and distances in Å follow each position.
Element x y z (fractional)
In  0.0710  0.5720  0.7500  5 Au 2.81-2.99, 1 In 2.95, 1 Ag 3.08
In  0.4280  0.9290  0.7500  5 Au 2.81-2.99, 1 In 2.95, 1 Ag 3.08
In  0.5720  0.0710  0.2500  5 Au 2.81-2.99, 1 In 2.95, 1 Ag 3.08
In  0.9290  0.4280  0.2500  5 Au 2.81-2.99, 1 In 2.95, 1 Ag 3.08
Ag  0.4631  0.5369  0.2500  5 Au 2.86-2.91, 2 In 3.08
Ag  0.5369  0.4631  0.7500  5 Au 2.86-2.91, 2 In 3.08
Au  0.1533  0.8467  0.2500  2 In 2.81, 4 Au 2.85, 1 Ag 2.91
Au  0.2209  0.2209  0.0000  2 Au 2.85, 2 Ag 2.86, 4 In 2.89-2.99
Au  0.2209  0.2209  0.5000  2 Au 2.85, 2 Ag 2.86, 4 In 2.89-2.99
Au  0.7791  0.7791  0.0000  2 Au 2.85, 2 Ag 2.86, 4 In 2.89-2.99
Au  0.7791  0.7791  0.5000  2 Au 2.85, 2 Ag 2.86, 4 In 2.89-2.99
Au  0.8467  0.1533  0.7500  2 In 2.81, 4 Au 2.85, 1 Ag 2.91


Copy entry 6 word for word.
First-principles (PBE) data for crystalline In2AgAu at its relaxed geometry, as listed in Alexandria via LeMat-Bulk.

Output
- Crystal system: tetragonal
- Space group: No. 139
- Formation energy: -0.042 eV/atom

Lattice parameters (Å, degrees): 4.5920 4.5920 8.0293 90.00 90.00 90.00
Closest atoms and distances in Å follow each position.
Element x y z (fractional)
In  0.0000  0.5000  0.2500  4 Ag 3.05, 4 Au 3.05, 4 In 3.25
In  0.0000  0.5000  0.7500  4 Au 3.05, 4 Ag 3.05, 4 In 3.25
In  0.5000  0.0000  0.2500  4 Ag 3.05, 4 Au 3.05, 4 In 3.25
In  0.5000  0.0000  0.7500  4 Au 3.05, 4 Ag 3.05, 4 In 3.25
Ag  0.0000  0.0000  0.0000  8 In 3.05, 4 Au 3.25
Ag  0.5000  0.5000  0.5000  8 In 3.05, 4 Au 3.25
Au  0.0000  0.0000  0.5000  8 In 3.05, 4 Ag 3.25
Au  0.5000  0.5000  0.0000  8 In 3.05, 4 Ag 3.25